Entry 1:
A geometry-optimized Hf2GaAs structure, computed with PBE-GGA.

Cell lengths 6.691, 6.691, 6.691 Å; angles 90.00, 90.00, 90.00 degrees
Fractional positions:
Hf: 0.250 0.250 0.250
Hf: 0.250 0.250 0.750
Hf: 0.250 0.750 0.250
Hf: 0.250 0.750 0.750
Hf: 0.750 0.250 0.250
Hf: 0.750 0.250 0.750
Hf: 0.750 0.750 0.250
Hf: 0.750 0.750 0.750
Ga: 0.000 0.000 0.000
Ga: 0.000 0.500 0.500
Ga: 0.500 0.000 0.500
Ga: 0.500 0.500 0.000
As: 0.000 0.000 0.500
As: 0.000 0.500 0.000
As: 0.500 0.000 0.000
As: 0.500 0.500 0.500

## Properties
space-group type = No. 225
ΔE to the lowest computed polymorph = 202 meV per atom



Entry 2:
A geometry-optimized KHfGaAs3 structure, computed with PBE-GGA.

Cell lengths 9.118, 3.853, 9.938 Å; angles 90.00, 115.35, 90.00 degrees
Fractional positions:
K: 0.234 0.250 0.254
K: 0.766 0.750 0.746
Hf: 0.324 0.750 0.875
Hf: 0.676 0.250 0.125
Ga: 0.090 0.250 0.615
Ga: 0.910 0.750 0.385
As: 0.108 0.250 0.868
As: 0.237 0.750 0.562
As: 0.486 0.750 0.171
As: 0.514 0.250 0.829
As: 0.763 0.250 0.438
As: 0.892 0.750 0.132

## Properties
space-group type = No. 11



Entry 3:
A geometry-optimized HfGaNiAs structure, computed with PBE-GGA.

Cell lengths 3.825, 3.825, 16.777 Å; angles 90.00, 90.00, 120.00 degrees
Fractional positions:
Hf: 0.000 0.000 0.000
Hf: 0.333 0.667 0.667
Hf: 0.667 0.333 0.333
Ga: 0.000 0.000 0.805
Ga: 0.333 0.667 0.472
Ga: 0.667 0.333 0.138
Ni: 0.000 0.000 0.418
Ni: 0.333 0.667 0.085
Ni: 0.667 0.333 0.751
As: 0.000 0.000 0.564
As: 0.333 0.667 0.231
As: 0.667 0.333 0.897

## Properties
space-group type = No. 160
ΔE to the lowest computed polymorph = 62 meV per atom



Table of E_form (eV/atom), in record order: -0.34; -0.52; -0.42